1.
## AsP2Rh (GGA-PBE)

Data for a geometry-optimized AsP2Rh structure.

```
AsP2Rh
1.0
4.530 0.000 0.000
0.000 4.530 0.000
0.000 0.000 2.935
Rh P As
1 2 1
Cartesian
2.265 0.000 1.467 Rh
2.265 2.265 0.000 P
0.000 0.000 0.000 P
0.000 2.265 1.467 As
```

Output
Total moment, μB per formula unit: 0.0
DFT total energy, eV/cell: -21.501
Calculated formation energy, meV per atom: 330

=====

2.
## Pu2SbTe4 (GGA-PBE)

Data for a geometry-optimized Pu2SbTe4 structure.

```
Pu2SbTe4
1.0
4.565 0.000 0.000
0.000 7.948 0.000
0.000 0.000 12.775
Te Pu Sb
8 4 2
Cartesian
0.000 5.025 9.965 Te
2.283 1.982 5.750 Te
2.283 5.965 7.025 Te
0.000 1.052 9.197 Te
2.283 1.991 12.137 Te
0.000 6.896 3.577 Te
0.000 2.922 2.810 Te
2.283 5.956 0.638 Te
2.283 0.773 2.370 Pu
2.283 7.174 10.405 Pu
2.283 4.747 4.017 Pu
2.283 3.200 8.757 Pu
0.000 0.000 6.387 Sb
0.000 3.974 0.000 Sb
```

Output
Total moment, μB per formula unit: 11.0
ΔE_f (raw), kcal/mol of atoms: -15.527
DFT total energy, eV/cell: -100.132

=====

3.
## TlZnSn2 (GGA-PBE)

Data for a geometry-optimized TlZnSn2 structure.

```
TlZnSn2
1.0
5.006 0.000 0.000
0.000 4.555 0.000
0.000 0.000 4.555
Sn Tl Zn
2 1 1
Cartesian
0.000 0.000 2.277 Sn
0.000 2.277 0.000 Sn
2.503 2.277 2.277 Tl
2.503 0.000 0.000 Zn
```

Output
Total moment, μB per formula unit: 0.0
Energy above the lowest structure with this stoichiometry, meV/atom: 74.0
DFT total energy, eV/cell: -11.081
Calculated formation energy, meV per atom: 141